This record from Alexandria describes a geometry-optimized Sn3MoRh structure. The functional is PBE-GGA.

theoretical density	6.99	g cm⁻³
ΔE_f	0.745	eV per atom
energy	-5.29	eV per atom
SG	Pm-3m
crystal system	cubic
ΔE to the lowest computed polymorph	0.000	kcal/mol of atoms

Cell: 5.0886 5.0886 5.0886 Å, 90.00 90.00 90.00°
Site moments in Bohr magnetons follow the coordinates.
Fractional positions:
Mo 0.5000 0.5000 0.5000  3.37
Rh 0.0000 0.0000 0.0000  -0.12
Sn 0.0000 0.5000 0.0000  -0.04
Sn 0.0000 0.0000 0.5000  -0.08
Sn 0.5000 0.0000 0.0000  -0.01

=====

This record from Alexandria describes a geometry-optimized SnMoRh6 structure. The functional is PBE-GGA.

theoretical density	11.54	g cm⁻³
ΔE_f	-0.294	eV per atom
energy	-7.66	eV per atom
SG	P4/mmm
crystal system	tetragonal

Cell: 3.9035 3.9035 7.8596 Å, 90.00 90.00 90.00°
Fractional positions:
Sn 0.0000 0.0000 0.0000
Mo 0.0000 0.0000 0.5000
Rh 0.5000 0.5000 0.0000
Rh 0.5000 0.5000 0.5000
Rh 0.5000 0.0000 0.2628
Rh 0.5000 0.0000 0.7372
Rh 0.0000 0.5000 0.2628
Rh 0.0000 0.5000 0.7372

=====

What is the theoretical density in the second record?
11.54 g cm⁻³